Record 1
Material: TcIr4
Method: DFT, SCAN
State: PBEsol geometry

Properties
- E_form (meV/atom) = -148.9
- DOS at the Fermi energy (states/eV per atom) = 0.796
- mass density (Mg/m³) = 20.56

Cell: 4.687 4.687 4.687 Å, 99.57 99.57 131.88°
Atoms (fractional coordinates):
Tc: 0.000 0.000 0.000
Ir: 0.203 0.603 0.807
Ir: 0.397 0.203 0.600
Ir: 0.603 0.797 0.400
Ir: 0.797 0.397 0.193

=====

Record 2
Material: MgNiNO2
Method: DFT, SCAN
State: PBEsol geometry

Properties
- formation energy from raw total energies (meV per atom) = 314
- DOS at the Fermi energy (states/eV per atom) = 0.495
- mass density (Mg/m³) = 3.76

Cell: 3.757 3.757 4.031 Å, 90.00 90.00 90.00°
Atoms (fractional coordinates):
Mg: 0.000 0.000 0.000
Ni: 0.500 0.500 0.500
N: 0.000 0.000 0.500
O: 0.000 0.500 0.000
O: 0.500 0.000 0.000